## SrCrCo2 (GGA-PBE)

Data for a relaxed structure of SrCrCo2.

Cell lengths 3.8693, 5.8956, 5.8956 Å; angles 37.45, 90.00, 90.00 degrees
With the nearest neighbours (Å) after each atom.
Atoms (fractional coordinates):
Sr  0.0000  0.0000  0.0000  7 Co 2.96-3.24
Cr  0.5000  0.2735  0.2735  2 Co 2.38
Co  0.0000  0.7353  0.7353  2 Co 2.18
Co  0.5000  0.6445  0.6445  2 Co 2.18, 2 Cr 2.38

Results
distance to the lowest polymorph of the same formula	276	meV per atom
energy of formation from the pure elements	0.60	eV per atom
crystal system	orthorhombic
magnetic moment	1.58	Bohr magnetons per cell
energy	-23.13	eV for the cell shown

## SrMg2In3 (GGA-PBE)

Data for a relaxed structure of SrMg2In3.

Cell lengths 7.5716, 7.5716, 6.0255 Å; angles 90.00, 90.00, 81.87 degrees
With the nearest neighbours (Å) after each atom.
Atoms (fractional coordinates):
Sr  0.1887  0.8113  0.7500  7 In 3.52-3.75, 4 Mg 3.90
Sr  0.8113  0.1887  0.2500  7 In 3.52-3.75, 4 Mg 3.90
Mg  0.2680  0.2680  0.0000  6 In 2.93-3.12, 2 Mg 3.01
Mg  0.2680  0.2680  0.5000  6 In 2.93-3.12, 2 Mg 3.01
Mg  0.7320  0.7320  0.0000  6 In 2.93-3.12, 2 Mg 3.01
Mg  0.7320  0.7320  0.5000  6 In 2.93-3.12, 2 Mg 3.01
In  0.0521  0.5885  0.2500  4 Mg 2.93-3.12, 1 In 3.04
In  0.4115  0.9479  0.2500  4 Mg 2.93-3.12, 1 In 3.04
In  0.4570  0.5430  0.2500  4 In 3.04-3.13, 4 Mg 3.08
In  0.5430  0.4570  0.7500  4 In 3.04-3.13, 4 Mg 3.08
In  0.5885  0.0521  0.7500  4 Mg 2.93-3.12, 1 In 3.04
In  0.9479  0.4115  0.7500  4 Mg 2.93-3.12, 1 In 3.04

Results
distance to the lowest polymorph of the same formula	15	meV per atom
energy of formation from the pure elements	-0.19	eV per atom
crystal system	orthorhombic
magnetic moment	0.00	Bohr magnetons per cell
energy	-28.43	eV for the cell shown

Question: The highest energy belongs to which entry?
Answer: SrCrCo2

Question: Among the records above, which one has the lowest magnetic moment?
Answer: SrMg2In3

Question: What is the magnetic moment in the second record?
Answer: 0.00 Bohr magnetons per cell

Question: Number 1 is which compound?
Answer: SrCrCo2